LaCrPb2: relaxed, PBE.

Cell: 5.1856 5.1856 18.4922 Å, 90.00 90.00 90.00°
Space group I-42d (No. 122)
Inequivalent atoms, fractional coordinates:
La 0.0000 0.0000 0.0000 [4 per cell]
Cr 0.0000 0.0000 0.5000 [4 per cell]
Pb 0.1402 0.2500 0.6250 [8 per cell]



HfZnFe2: relaxed, PBE.

Cell: 4.0632 4.0632 3.3457 Å, 90.00 90.00 90.00°
Space group P4/mmm (No. 123)
Inequivalent atoms, fractional coordinates:
Hf 0.0000 0.0000 0.0000 [1 per cell]
Zn 0.5000 0.5000 0.0000 [1 per cell]
Fe 0.0000 0.5000 0.5000 [2 per cell]



KHg2Mo: relaxed, PBE.

Cell: 5.6758 5.6758 19.0915 Å, 90.00 90.00 90.00°
Space group I-42d (No. 122)
Inequivalent atoms, fractional coordinates:
K 0.0000 0.0000 0.0000 [4 per cell]
Hg 0.0697 0.2500 0.6250 [8 per cell]
Mo 0.0000 0.0000 0.5000 [4 per cell]



P2S2Br: relaxed, PBE.

Calculated values
**Energy relative to the elements, uncorrected**: 1.0104 eV/atom

Cell: 4.7343 4.7343 4.5044 Å, 90.00 90.00 90.00°
Space group P4/mmm (No. 123)
Inequivalent atoms, fractional coordinates:
P 0.0000 0.5000 0.0000 [2 per cell]
S 0.0000 0.0000 0.0000 [1 per cell]
S 0.0000 0.0000 0.5000 [1 per cell]
Br 0.5000 0.5000 0.5000 [1 per cell]



Be2NO: relaxed, PBE.

Calculated values
**Energy relative to the elements, uncorrected**: -1.3547 eV/atom

Cell: 4.0006 4.0006 7.4234 Å, 90.00 90.00 90.00°
Space group I-42d (No. 122)
Inequivalent atoms, fractional coordinates:
Be 0.2323 0.2500 0.1250 [8 per cell]
N 0.0000 0.0000 0.5000 [4 per cell]
O 0.0000 0.0000 0.0000 [4 per cell]



TbSm3Ag2: relaxed, PBE.

Cell: 3.6835 3.6835 12.4956 Å, 90.00 90.00 90.00°
Space group P4/mmm (No. 123)
Inequivalent atoms, fractional coordinates:
Tb 0.0000 0.0000 0.0000 [1 per cell]
Sm 0.5000 0.5000 0.2003 [2 per cell]
Sm 0.5000 0.5000 0.5000 [1 per cell]
Ag 0.0000 0.0000 0.3493 [2 per cell]



| no. | energy (eV per atom) |
| --- | --- |
| 1 | -4.878 |
| 2 | -7.120 |
| 3 | -2.279 |
| 4 | -3.139 |
| 5 | -6.539 |
| 6 | -4.250 |